No. 1
First-principles (GGA-PBE) data for Cr2CoAg after structural relaxation, as listed in Alexandria.

Computed properties:
DFT formation energy: 0.468 eV/atom
DOS at the Fermi energy: 4.058 states/eV per cell
total magnetic moment: 0.43 μB per atom
uncorrected energy: -6.83 eV per atom

```
Cr2CoAg
1.0
-4.5580 -0.0757 0.6910
-2.0293 -0.4743 -4.1128
3.3795 -2.4319 1.9807
Ag Co Cr
1 1 2
direct
0.5000 0.5000 0.0000
0.7500 0.2500 0.5000
0.0000 0.0000 0.0000
0.2500 0.7500 0.5000
```

No. 2
First-principles (GGA-PBE) data for La11Mg9Cd4 after structural relaxation, as listed in Alexandria.

Computed properties:
DFT formation energy: -0.162 eV/atom
DOS at the Fermi energy: 23.455 states/eV per cell
total magnetic moment: 0.00 μB per atom
uncorrected energy: -3.17 eV per atom

```
La11Mg9Cd4
1.0
-3.1456 2.3818 -0.1704
-6.6069 -8.0350 9.6532
7.5773 10.4312 5.9305
La Mg Cd
11 9 4
direct
0.0000 0.5877 0.9346
0.0000 0.4123 0.0654
0.0000 0.9346 0.5877
0.0000 0.0654 0.4123
0.0000 0.6501 0.3499
0.0000 0.3499 0.6501
0.0000 0.8326 0.1674
0.0000 0.1674 0.8326
0.0000 0.0000 0.0000
0.0000 0.7384 0.7384
0.0000 0.2616 0.2616
0.5000 0.6283 0.1458
0.5000 0.3717 0.8542
0.5000 0.1458 0.6283
0.5000 0.8542 0.3717
0.5000 0.7919 0.9519
0.5000 0.2081 0.0481
0.5000 0.9519 0.7919
0.5000 0.0481 0.2081
0.5000 0.5000 0.5000
0.5000 0.5503 0.7354
0.5000 0.4497 0.2646
0.5000 0.7354 0.5503
0.5000 0.2646 0.4497
```

No. 3
First-principles (GGA-PBE) data for HoTm2ScTl4 after structural relaxation, as listed in Alexandria.

Computed properties:
DFT formation energy: -0.285 eV/atom
DOS at the Fermi energy: 6.502 states/eV per cell
total magnetic moment: 0.00 μB per atom
uncorrected energy: -3.95 eV per atom

```
HoTm2ScTl4
1.0
-1.6097 -2.4506 4.3752
-3.9492 -3.4770 -0.2304
3.8182 -8.3200 -0.0853
Ho Tm Sc Tl
1 2 1 4
direct
0.0000 0.0000 0.0000
0.7511 0.7511 0.7466
0.2489 0.2489 0.2534
0.5000 0.5000 0.5000
0.3766 0.3766 0.8702
0.8736 0.8736 0.3792
0.1264 0.1264 0.6208
0.6234 0.6234 0.1298
```

No. 4
First-principles (GGA-PBE) data for ReAgW after structural relaxation, as listed in Alexandria.

Computed properties:
DFT formation energy: 1.115 eV/atom
DOS at the Fermi energy: 3.071 states/eV per cell
total magnetic moment: 0.00 μB per atom
uncorrected energy: -8.30 eV per atom

```
ReAgW
1.0
-2.7538 3.0415 -1.4050
-3.5662 -1.1464 -2.1855
-3.9019 0.4126 1.8475
Re Ag W
1 1 1
direct
0.7500 0.7500 0.7500
0.5000 0.5000 0.5000
0.0000 0.0000 0.0000
```

No. 5
First-principles (GGA-PBE) data for SmY2SnN after structural relaxation, as listed in Alexandria.

Computed properties:
energy relative to the elements, uncorrected: -1.05 eV per atom
DOS at the Fermi energy: 2.120 states/eV per cell
total magnetic moment: 0.00 μB per atom
uncorrected energy: -7.04 eV per atom

```
SmY2SnN
1.0
-0.3797 -0.1212 4.9242
-1.4567 -4.5792 -0.2251
4.5698 -1.4693 0.3162
Sm Y Sn N
1 2 1 1
direct
0.5000 0.0000 0.0000
0.0000 0.0000 0.5000
0.0000 0.5000 0.0000
0.5000 0.5000 0.5000
0.0000 0.0000 0.0000
```

No. 6
First-principles (GGA-PBE) data for La2ZrCr after structural relaxation, as listed in Alexandria.

Computed properties:
DFT formation energy: 0.488 eV/atom
DOS at the Fermi energy: 4.823 states/eV per cell
total magnetic moment: 0.86 μB per atom
uncorrected energy: -6.52 eV per atom

```
La2ZrCr
1.0
10.5411 0.1338 0.0789
9.9233 3.5580 0.0789
9.9233 1.7902 3.0758
Cr La Zr
1 2 1
direct
0.7500 0.7500 0.7500
0.0067 0.0067 0.0067
0.4933 0.4933 0.4933
0.2500 0.2500 0.2500
```

No. 7
First-principles (GGA-PBE) data for LiCd2ReS after structural relaxation, as listed in Alexandria.

Computed properties:
energy relative to the elements, uncorrected: 0.98 eV per atom
DOS at the Fermi energy: 4.426 states/eV per cell
total magnetic moment: 0.00 μB per atom
uncorrected energy: -3.08 eV per atom

```
LiCd2ReS
1.0
-2.4365 3.1177 -2.6616
-2.9474 -0.0256 2.6682
2.0752 3.6083 2.3269
Re S Li Cd
1 1 1 2
direct
0.5000 0.5000 0.5000
0.0000 0.5000 0.0000
0.0000 0.0000 0.0000
0.0000 0.0000 0.5000
0.5000 0.0000 0.0000
```

No. 8
First-principles (GGA-PBE) data for NaH5Pd2Rh after structural relaxation, as listed in Alexandria.

Computed properties:
DOS at the Fermi energy: 1.356 states/eV per cell
total magnetic moment: 0.00 μB per atom
uncorrected energy: -4.10 eV per atom

```
NaH5Pd2Rh
1.0
-1.4670 -2.8964 1.2661
2.1539 -2.5671 -3.3770
3.5404 2.0680 4.0372
Na H Pd Rh
1 5 2 1
direct
0.0000 0.5000 0.0000
0.6437 0.9156 0.2873
0.3563 0.0844 0.7127
0.3563 0.6283 0.7127
0.6437 0.3717 0.2873
0.0000 0.0000 0.0000
0.2334 0.2334 0.4669
0.7666 0.7666 0.5331
0.5000 0.0000 0.0000
```

No. 9
First-principles (GGA-PBE) data for KBeCl4 after structural relaxation, as listed in Alexandria.

Computed properties:
energy relative to the elements, uncorrected: 0.21 eV per atom
DOS at the Fermi energy: 0.567 states/eV per cell
total magnetic moment: 0.51 μB per atom
uncorrected energy: -1.82 eV per atom

```
KBeCl4
1.0
3.6691 2.7568 4.0644
-1.5278 5.4791 2.2860
-1.7419 0.5004 5.8563
K Be Cl
1 1 4
direct
0.7500 0.7500 0.7500
0.0000 0.0000 0.0000
0.8753 0.3749 0.3749
0.3749 0.3749 0.8753
0.3749 0.8753 0.3749
0.3749 0.3749 0.3749
```